Entry from the Alexandria database: AlOs3 after structural relaxation (PBE-GGA).

Unit cell a=2.8206 b=4.6960 c=8.8073 alpha=90.00 beta=90.00 gamma=90.00
Space group Cmmm (No. 65)
Inequivalent atoms, fractional coordinates:
Al 0.0000 0.0000 0.0000 (multiplicity 2)
Os 0.0000 0.0000 0.5000 (multiplicity 2)
Os 0.0000 0.5000 0.2409 (multiplicity 4)

## Properties
* energy of formation from the pure elements: 1.43 eV per formula unit
* calculated density: 17.02 g/cm³
* final energy: -8.999 eV/atom